This record from Alexandria via LeMat-Bulk describes an optimized crystal structure of KHg2Cl. The functional is PBE-GGA.

Properties
Symmetry: P4mm
Raw total energy (eV/atom): -1.7621
Calculated volume (Å³ per cell): 166.0
Formation energy (no corrections) (meV/atom): -875
Energy above the lowest structure with this stoichiometry (meV/atom): 1

Lattice parameters (Å, degrees): 4.3189 4.3190 8.9015 90.00 90.00 89.99
Positions (direct):
K 0.0000 0.0000 0.6209
Cl 0.5000 0.5000 0.6120
Hg 0.0000 0.0000 0.0520
Hg 0.5000 0.5000 0.2151